DFT (GGA-PBE) results for a relaxed structure of Tb3PrTm2Te6.

Calculated values
* mass density: 8.03 Mg/m³

a = 9.745 Å, b = 9.745 Å, c = 8.836 Å
α = 101.45°, β = 101.45°, γ = 25.68°
Atoms (fractional coordinates):
Tb 0.000 0.000 0.000
Tb 0.343 0.343 0.663
Tb 0.657 0.657 0.337
Pr 0.000 0.000 0.500
Tm 0.336 0.336 0.167
Tm 0.664 0.664 0.833
Te 0.170 0.170 0.084
Te 0.174 0.174 0.595
Te 0.495 0.495 0.239
Te 0.505 0.505 0.761
Te 0.826 0.826 0.405
Te 0.830 0.830 0.916



DFT (GGA-PBE) results for a relaxed structure of Rb2AcCuCl6.

Calculated values
* mass density: 3.28 Mg/m³

a = 8.086 Å, b = 8.717 Å, c = 12.553 Å
α = 90.00°, β = 129.46°, γ = 90.00°
Atoms (fractional coordinates):
Rb 0.233 0.076 0.247
Rb 0.233 0.424 0.747
Rb 0.767 0.576 0.253
Rb 0.767 0.924 0.753
Ac 0.000 0.000 0.500
Ac 0.000 0.500 0.000
Cu 0.500 0.000 0.000
Cu 0.500 0.500 0.500
Cl 0.124 0.217 0.953
Cl 0.124 0.283 0.453
Cl 0.249 0.668 0.952
Cl 0.249 0.832 0.452
Cl 0.383 0.034 0.792
Cl 0.383 0.466 0.292
Cl 0.617 0.534 0.708
Cl 0.617 0.966 0.208
Cl 0.751 0.168 0.548
Cl 0.751 0.332 0.048
Cl 0.876 0.717 0.547
Cl 0.876 0.783 0.047



DFT (GGA-PBE) results for a relaxed structure of KAgPd2Cl6.

Calculated values
* mass density: 4.12 Mg/m³

a = 6.790 Å, b = 6.794 Å, c = 6.978 Å
α = 60.93°, β = 60.98°, γ = 60.04°
Atoms (fractional coordinates):
K 0.000 0.000 0.000
Ag 0.477 0.473 0.579
Pd 0.256 0.254 0.236
Pd 0.758 0.756 0.730
Cl 0.009 0.556 0.982
Cl 0.118 0.507 0.482
Cl 0.455 0.010 0.978
Cl 0.512 0.899 0.479
Cl 0.557 0.456 0.974
Cl 0.902 0.112 0.486



DFT (GGA-PBE) results for a relaxed structure of GeSbTe2Pb.

Calculated values
* mass density: 5.62 Mg/m³

a = 5.789 Å, b = 5.789 Å, c = 5.795 Å
α = 90.00°, β = 90.00°, γ = 90.00°
Atoms (fractional coordinates):
Ge 0.000 0.000 0.000
Sb 0.500 0.500 0.000
Te 0.000 0.500 0.500
Te 0.500 0.000 0.500
Pb 0.500 0.500 0.500



Number 1: calculated total energy -61.89 eV/cell, V 29.660 Å³ per atom, total magnetization 0.0 μB per formula unit. Number 2: calculated total energy -78.73 eV/cell, V 34.157 Å³ per atom, total magnetization 0.2 μB per formula unit. Number 3: calculated total energy -32.46 eV/cell, V 23.091 Å³ per atom, total magnetization 0.0 μB per formula unit. Number 4: calculated total energy -14.27 eV/cell, V 38.847 Å³ per atom, total magnetization 0.0 μB per formula unit.